Compound: DyHo3TmSc
Source: Alexandria
Functional: PBE-GGA
Structure: optimized geometry

Results
Energy relative to the elements   1.1 eV/f.u.
Calculated total energy   -56.057 eV for the cell shown

a = 5.4002 Å, b = 11.0183 Å, c = 6.5097 Å
α = 98.35°, β = 90.00°, γ = 104.19°
With the nearest neighbours (Å) after each atom.
Fractional positions:
1 Dy 0.9281 0.8562 0.8072  4 Ho 3.30-3.61, 2 Sc 3.39, 2 Tm 3.61, 1 Dy 3.66
2 Ho 0.5249 0.0498 0.7639  2 Sc 3.19-3.46, 1 Tm 3.28, 2 Ho 3.40-3.44, 2 Dy 3.44
3 Sc 0.3683 0.7365 0.5301  1 Tm 3.02, 4 Ho 3.13-3.32
4 Ho 0.7723 0.5447 0.6886  1 Sc 3.13, 1 Dy 3.30, 3 Tm 3.39-3.43, 1 Ho 3.46
5 Ho 0.1613 0.3226 0.7640  2 Tm 3.23, 2 Sc 3.32, 1 Ho 3.46, 1 Dy 3.61
6 Tm 0.3333 0.6666 0.9623  1 Sc 3.02, 3 Ho 3.23-3.28
7 Sc 0.6317 0.2635 0.4699  1 Tm 3.02, 4 Ho 3.13-3.32
8 Tm 0.6667 0.3334 0.0377  1 Sc 3.02, 3 Ho 3.23-3.28
9 Ho 0.8387 0.6774 0.2360  2 Tm 3.23, 2 Sc 3.32, 1 Ho 3.46, 1 Dy 3.61
10 Dy 0.0719 0.1438 0.1928  4 Ho 3.30-3.61, 2 Sc 3.39, 2 Tm 3.61, 1 Dy 3.66
11 Ho 0.4751 0.9502 0.2361  2 Sc 3.19-3.46, 1 Tm 3.28, 2 Ho 3.40-3.44, 2 Dy 3.44
12 Ho 0.2277 0.4553 0.3114  1 Sc 3.13, 1 Dy 3.30, 3 Tm 3.39-3.43, 1 Ho 3.46

***

Compound: DyHo2TmSc4
Source: Alexandria
Functional: PBE-GGA
Structure: optimized geometry

Results
Energy relative to the elements   0.4 eV/f.u.
Calculated total energy   -43.135 eV for the cell shown

a = 4.8515 Å, b = 4.8490 Å, c = 10.5449 Å
α = 62.61°, β = 90.00°, γ = 90.00°
With the nearest neighbours (Å) after each atom.
Fractional positions:
1 Sc 0.5000 0.2493 0.7508  2 Tm 3.36, 4 Ho 3.37-3.38, 2 Dy 3.38, 4 Sc 3.43
2 Ho 0.5000 0.0000 0.5000  8 Sc 3.37-3.38, 4 Dy 3.43
3 Tm 0.5000 0.5000 0.0000  8 Sc 3.36-3.37, 4 Ho 3.43
4 Dy 0.0000 0.5000 0.5000  8 Sc 3.37-3.38, 4 Ho 3.43
5 Sc 0.0000 0.2508 0.2492  4 Ho 3.36-3.38, 2 Tm 3.37, 2 Dy 3.37-3.38, 4 Sc 3.43
6 Sc 0.5000 0.7507 0.2492  2 Tm 3.36, 4 Ho 3.37-3.38, 2 Dy 3.38, 4 Sc 3.43
7 Ho 0.0000 0.0000 0.0000  8 Sc 3.36-3.37, 4 Tm 3.43
8 Sc 0.0000 0.7492 0.7508  4 Ho 3.36-3.38, 2 Tm 3.37, 2 Dy 3.37-3.38, 4 Sc 3.43

***

Compound: Dy6HoTm2Sc
Source: Alexandria
Functional: PBE-GGA
Structure: optimized geometry

Results
Energy relative to the elements   1.3 eV/f.u.
Calculated total energy   -92.369 eV for the cell shown

a = 9.3529 Å, b = 8.6420 Å, c = 8.6420 Å
α = 117.25°, β = 93.75°, γ = 93.75°
With the nearest neighbours (Å) after each atom.
Fractional positions:
1 Dy 0.1165 0.7075 0.4931  3 Tm 3.18-3.36, 4 Dy 3.21-3.46, 2 Sc 3.29-3.45
2 Ho 0.2500 0.9766 0.0234  4 Tm 3.33-3.39, 4 Dy 3.51-3.58
3 Dy 0.4454 0.2450 0.8752  7 Dy 3.38-3.68, 1 Tm 3.44, 1 Ho 3.58
4 Dy 0.0546 0.1248 0.7550  7 Dy 3.38-3.68, 1 Tm 3.44, 1 Ho 3.58
5 Dy 0.8112 0.4365 0.9939  3 Dy 3.21-3.57, 1 Tm 3.33, 1 Sc 3.35, 1 Ho 3.51
6 Dy 0.1888 0.5635 0.0061  3 Dy 3.21-3.57, 1 Tm 3.33, 1 Sc 3.35, 1 Ho 3.51
7 Ho 0.7500 0.0234 0.9766  4 Tm 3.33-3.39, 4 Dy 3.51-3.58
8 Dy 0.6165 0.4931 0.7075  3 Tm 3.18-3.36, 4 Dy 3.21-3.46, 2 Sc 3.29-3.45
9 Tm 0.9528 0.6959 0.7989  5 Dy 3.18-3.44, 2 Ho 3.33-3.39, 1 Sc 3.41
10 Dy 0.3835 0.5069 0.2925  3 Tm 3.18-3.36, 4 Dy 3.21-3.46, 2 Sc 3.29-3.45
11 Tm 0.5472 0.2011 0.3041  5 Dy 3.18-3.44, 2 Ho 3.33-3.39, 1 Sc 3.41
12 Dy 0.8835 0.2925 0.5069  3 Tm 3.18-3.36, 4 Dy 3.21-3.46, 2 Sc 3.29-3.45
13 Dy 0.3112 0.9939 0.4365  3 Dy 3.21-3.57, 1 Tm 3.33, 1 Sc 3.35, 1 Ho 3.51
14 Tm 0.4528 0.7989 0.6959  5 Dy 3.18-3.44, 2 Ho 3.33-3.39, 1 Sc 3.41
15 Sc 0.7500 0.5865 0.4135  6 Dy 3.29-3.45, 2 Tm 3.41
16 Dy 0.6888 0.0061 0.5635  3 Dy 3.21-3.57, 1 Tm 3.33, 1 Sc 3.35, 1 Ho 3.51
17 Dy 0.9454 0.8752 0.2450  7 Dy 3.38-3.68, 1 Tm 3.44, 1 Ho 3.58
18 Dy 0.5546 0.7550 0.1248  7 Dy 3.38-3.68, 1 Tm 3.44, 1 Ho 3.58
19 Sc 0.2500 0.4135 0.5865  6 Dy 3.29-3.45, 2 Tm 3.41
20 Tm 0.0472 0.3041 0.2011  5 Dy 3.18-3.44, 2 Ho 3.33-3.39, 1 Sc 3.41

***

Compound: Dy4Ho2TmSc
Source: Alexandria
Functional: PBE-GGA
Structure: optimized geometry

Results
Energy relative to the elements   0.3 eV/f.u.
Calculated total energy   -38.116 eV for the cell shown

a = 4.9467 Å, b = 4.9536 Å, c = 11.0293 Å
α = 63.32°, β = 90.00°, γ = 90.00°
With the nearest neighbours (Å) after each atom.
Fractional positions:
1 Dy 0.5000 0.7533 0.2462  4 Ho 3.46-3.52, 2 Sc 3.47, 4 Dy 3.50, 2 Tm 3.52
2 Dy 0.5000 0.2467 0.7538  4 Ho 3.46-3.52, 2 Sc 3.47, 4 Dy 3.50, 2 Tm 3.52
3 Sc 0.5000 0.5000 0.0000  8 Dy 3.46-3.47, 4 Ho 3.50
4 Tm 0.0000 0.5000 0.5000  4 Ho 3.50, 8 Dy 3.52
5 Ho 0.0000 0.0000 0.0000  8 Dy 3.46-3.47, 4 Sc 3.50
6 Dy 0.0000 0.7464 0.7541  2 Sc 3.46, 4 Ho 3.46-3.52, 4 Dy 3.50, 2 Tm 3.52
7 Dy 0.0000 0.2536 0.2459  2 Sc 3.46, 4 Ho 3.46-3.52, 4 Dy 3.50, 2 Tm 3.52
8 Ho 0.5000 0.0000 0.5000  4 Tm 3.50, 8 Dy 3.52

***

Compound: DyHoTm2Sc2
Source: Alexandria
Functional: PBE-GGA
Structure: optimized geometry

Results
Energy relative to the elements   0.5 eV/f.u.
Calculated total energy   -60.670 eV for the cell shown

a = 5.4180 Å, b = 9.3577 Å, c = 6.7475 Å
α = 90.00°, β = 90.00°, γ = 90.00°
With the nearest neighbours (Å) after each atom.
Fractional positions:
1 Ho 0.5000 0.5000 0.0000  2 Dy 3.37, 6 Sc 3.54-3.55, 6 Tm 3.55
2 Tm 0.0000 0.6665 0.7507  5 Sc 3.12-3.38
3 Sc 0.5000 0.1668 0.2496  5 Tm 3.12-3.38
4 Tm 0.5000 0.1665 0.7493  5 Sc 3.12-3.38
5 Sc 0.0000 0.6668 0.2504  5 Tm 3.12-3.38
6 Ho 0.0000 0.0000 0.5000  2 Dy 3.37, 6 Sc 3.54-3.55, 6 Tm 3.55
7 Dy 0.5000 0.5000 0.5000  2 Ho 3.37, 6 Tm 3.55, 6 Sc 3.55
8 Tm 0.5000 0.8335 0.2507  5 Sc 3.12-3.38
9 Dy 0.0000 0.0000 0.0000  2 Ho 3.37, 6 Tm 3.55, 6 Sc 3.55
10 Tm 0.0000 0.3335 0.2493  5 Sc 3.12-3.38
11 Sc 0.0000 0.3332 0.7496  5 Tm 3.12-3.38
12 Sc 0.5000 0.8332 0.7504  5 Tm 3.12-3.38

***

Compound: Dy2HoTmSc4
Source: Alexandria
Functional: PBE-GGA
Structure: optimized geometry

Results
Energy relative to the elements   0.4 eV/f.u.
Calculated total energy   -43.162 eV for the cell shown

a = 4.8596 Å, b = 4.8614 Å, c = 10.5256 Å
α = 62.51°, β = 90.00°, γ = 90.00°
With the nearest neighbours (Å) after each atom.
Fractional positions:
1 Sc 0.0000 0.2497 0.2504  4 Dy 3.37, 2 Tm 3.37, 2 Ho 3.37, 4 Sc 3.44
2 Ho 0.5000 0.5000 0.0000  8 Sc 3.37, 4 Dy 3.44
3 Sc 0.5000 0.7496 0.2504  2 Tm 3.37, 4 Dy 3.37, 2 Ho 3.37, 4 Sc 3.44
4 Tm 0.0000 0.5000 0.5000  8 Sc 3.37, 4 Dy 3.44
5 Dy 0.5000 0.0000 0.5000  8 Sc 3.37, 4 Tm 3.44
6 Sc 0.5000 0.2504 0.7496  2 Tm 3.37, 4 Dy 3.37, 2 Ho 3.37, 4 Sc 3.44
7 Sc 0.0000 0.7503 0.7496  4 Dy 3.37, 2 Tm 3.37, 2 Ho 3.37, 4 Sc 3.44
8 Dy 0.0000 0.0000 0.0000  8 Sc 3.37, 4 Ho 3.44

***

Compound: DyHo2Tm4Sc
Source: Alexandria
Functional: PBE-GGA
Structure: optimized geometry

Results
Energy relative to the elements   0.3 eV/f.u.
Calculated total energy   -37.693 eV for the cell shown

a = 4.9121 Å, b = 4.9143 Å, c = 10.9946 Å
α = 63.46°, β = 90.00°, γ = 90.00°
With the nearest neighbours (Å) after each atom.
Fractional positions:
1 Tm 0.5000 0.2544 0.7455  2 Sc 3.44, 4 Ho 3.44-3.51, 4 Tm 3.47, 2 Dy 3.51
2 Tm 0.5000 0.7456 0.2545  2 Sc 3.44, 4 Ho 3.44-3.51, 4 Tm 3.47, 2 Dy 3.51
3 Tm 0.0000 0.2455 0.2546  4 Ho 3.44-3.51, 2 Sc 3.44-3.45, 4 Tm 3.47, 2 Dy 3.51
4 Ho 0.0000 0.0000 0.0000  4 Dy 3.47, 8 Tm 3.51
5 Tm 0.0000 0.7545 0.7454  4 Ho 3.44-3.51, 2 Sc 3.44-3.45, 4 Tm 3.47, 2 Dy 3.51
6 Sc 0.0000 0.5000 0.5000  8 Tm 3.44-3.45, 4 Ho 3.47
7 Dy 0.5000 0.5000 0.0000  4 Ho 3.47, 8 Tm 3.51
8 Ho 0.5000 0.0000 0.5000  8 Tm 3.44-3.45, 4 Sc 3.47

***

Compound: DyHoTmSc2
Source: Alexandria
Functional: PBE-GGA
Structure: optimized geometry

Results
Energy relative to the elements   1.8 eV/f.u.
Calculated total energy   -49.084 eV for the cell shown

a = 6.0182 Å, b = 6.0189 Å, c = 8.8493 Å
α = 109.88°, β = 90.00°, γ = 90.00°
With the nearest neighbours (Å) after each atom.
Fractional positions:
1 Sc 0.5000 0.2500 0.0000  4 Sc 3.01, 2 Tm 3.31, 2 Ho 3.32
2 Ho 0.2500 0.8469 0.6939  1 Tm 3.24, 4 Sc 3.32, 4 Dy 3.41-3.42
3 Sc 0.0000 0.7500 0.0000  4 Sc 3.01, 2 Tm 3.31, 2 Ho 3.32
4 Tm 0.2500 0.6521 0.3042  1 Ho 3.24, 4 Sc 3.31, 4 Dy 3.42
5 Tm 0.7500 0.3479 0.6958  1 Ho 3.24, 4 Sc 3.31, 4 Dy 3.42
6 Sc 0.5000 0.7500 0.0000  4 Sc 3.01, 2 Tm 3.31, 2 Ho 3.32
7 Sc 0.0000 0.2500 0.0000  4 Sc 3.01, 2 Tm 3.31, 2 Ho 3.32
8 Ho 0.7500 0.1531 0.3061  1 Tm 3.24, 4 Sc 3.32, 4 Dy 3.41-3.42
9 Dy 0.7500 0.7503 0.5005  4 Ho 3.41-3.42, 4 Tm 3.42
10 Dy 0.2500 0.2497 0.4995  4 Ho 3.41-3.42, 4 Tm 3.42

***

Compound: DyHo6Tm3Sc2
Source: Alexandria
Functional: PBE-GGA
Structure: optimized geometry

Results
Energy relative to the elements   0.5 eV/f.u.
Calculated total energy   -57.696 eV for the cell shown

a = 6.0176 Å, b = 6.0176 Å, c = 11.4926 Å
α = 95.00°, β = 95.00°, γ = 119.94°
With the nearest neighbours (Å) after each atom.
Fractional positions:
1 Ho 0.4181 0.0826 0.2462  2 Sc 3.43, 1 Dy 3.44, 6 Ho 3.46-3.50, 3 Tm 3.49-3.51
2 Dy 0.0000 0.0000 0.0000  6 Ho 3.44, 6 Sc 3.47-3.48
3 Ho 0.7470 0.7470 0.2462  2 Sc 3.43, 1 Dy 3.44, 6 Ho 3.46-3.50, 3 Tm 3.50-3.51
4 Sc 0.3334 0.6666 0.0000  6 Ho 3.43, 3 Sc 3.47-3.48, 3 Dy 3.47-3.48
5 Ho 0.0826 0.4181 0.2462  2 Sc 3.43, 1 Dy 3.44, 6 Ho 3.46-3.50, 3 Tm 3.49-3.51
6 Ho 0.5819 0.9174 0.7538  2 Sc 3.43, 1 Dy 3.44, 6 Ho 3.46-3.50, 3 Tm 3.49-3.51
7 Tm 0.8331 0.1669 0.5000  6 Tm 3.47-3.48, 6 Ho 3.49-3.51
8 Sc 0.6666 0.3334 0.0000  6 Ho 3.43, 3 Sc 3.47-3.48, 3 Dy 3.47-3.48
9 Ho 0.2530 0.2530 0.7538  2 Sc 3.43, 1 Dy 3.44, 6 Ho 3.46-3.50, 3 Tm 3.50-3.51
10 Tm 0.1669 0.8331 0.5000  6 Tm 3.47-3.48, 6 Ho 3.49-3.51
11 Tm 0.5000 0.5000 0.5000  6 Tm 3.47-3.48, 6 Ho 3.50-3.51
12 Ho 0.9174 0.5819 0.7538  2 Sc 3.43, 1 Dy 3.44, 6 Ho 3.46-3.50, 3 Tm 3.49-3.51

***

Compound: DyHo3Tm6Sc2
Source: Alexandria
Functional: PBE-GGA
Structure: optimized geometry

Results
Energy relative to the elements   0.5 eV/f.u.
Calculated total energy   -57.367 eV for the cell shown

a = 5.9994 Å, b = 5.9994 Å, c = 11.4767 Å
α = 94.99°, β = 94.99°, γ = 119.94°
With the nearest neighbours (Å) after each atom.
Fractional positions:
1 Tm 0.5825 0.9178 0.7548  2 Sc 3.41-3.42, 1 Dy 3.43, 6 Tm 3.45-3.49, 3 Ho 3.50-3.51
2 Tm 0.7467 0.7467 0.2452  2 Sc 3.41, 1 Dy 3.42, 6 Tm 3.45-3.49, 3 Ho 3.50-3.51
3 Tm 0.2533 0.2533 0.7548  2 Sc 3.41, 1 Dy 3.42, 6 Tm 3.45-3.49, 3 Ho 3.50-3.51
4 Sc 0.6667 0.3333 0.0000  6 Tm 3.41-3.42, 3 Dy 3.46-3.47, 3 Sc 3.46-3.47
5 Dy 0.0000 0.0000 0.0000  6 Tm 3.42-3.43, 6 Sc 3.46-3.47
6 Ho 0.8330 0.1670 0.5000  6 Ho 3.46-3.47, 6 Tm 3.50-3.51
7 Tm 0.0822 0.4175 0.2452  2 Sc 3.41-3.42, 1 Dy 3.43, 6 Tm 3.45-3.49, 3 Ho 3.50-3.51
8 Tm 0.9178 0.5825 0.7548  2 Sc 3.41-3.42, 1 Dy 3.43, 6 Tm 3.45-3.49, 3 Ho 3.50-3.51
9 Tm 0.4175 0.0822 0.2452  2 Sc 3.41-3.42, 1 Dy 3.43, 6 Tm 3.45-3.49, 3 Ho 3.50-3.51
10 Ho 0.1670 0.8330 0.5000  6 Ho 3.46-3.47, 6 Tm 3.50-3.51
11 Sc 0.3333 0.6667 0.0000  6 Tm 3.41-3.42, 3 Dy 3.46-3.47, 3 Sc 3.46-3.47
12 Ho 0.5000 0.5000 0.5000  6 Ho 3.46-3.47, 6 Tm 3.50-3.51